# 1
Below is a geometry-optimized BeSb2Cl structure, with properties calculated at the PBE level.

Structure (CIF):
```
data_BeSb2Cl
_cell_length_a 6.946
_cell_length_b 6.946
_cell_length_c 6.946
_cell_angle_alpha 90.00
_cell_angle_beta 90.00
_cell_angle_gamma 90.00
_symmetry_space_group_name_H-M 'F m -3 m'
_symmetry_Int_Tables_number 225
_symmetry_space_group_name_Hall '-F 4 2 3'
loop_
_atom_site_label
_atom_site_fract_x
_atom_site_fract_y
_atom_site_fract_z
Be1 0.000 0.000 0.000
Sb1 0.250 0.250 0.250
Cl1 0.000 0.000 0.500
```

Properties
energy above the most stable polymorph in this dataset = 533 meV/atom
crystal system = cubic

***

# 2
Below is a geometry-optimized BeSbCl2 structure, with properties calculated at the PBE level.

Structure (CIF):
```
data_BeSbCl2
_cell_length_a 3.264
_cell_length_b 4.492
_cell_length_c 5.588
_cell_angle_alpha 90.00
_cell_angle_beta 90.00
_cell_angle_gamma 90.00
_symmetry_space_group_name_H-M 'P m m m'
_symmetry_Int_Tables_number 47
loop_
_symmetry_equiv_pos_as_xyz
'x,y,z'
'-x,-y,-z'
'-x,-y,z'
'x,y,-z'
'x,-y,-z'
'-x,y,z'
'-x,y,-z'
'x,-y,z'
loop_
_atom_site_label
_atom_site_fract_x
_atom_site_fract_y
_atom_site_fract_z
Be1 0.000 0.000 0.000
Sb1 0.500 0.000 0.500
Cl1 0.000 0.500 0.500
Cl2 0.500 0.500 0.000
```

Properties
energy above the most stable polymorph in this dataset = 902 meV/atom
crystal system = orthorhombic

***

Uncorrected formation energy for every record listed, in sequence, given in eV/atom: 0.3910, 0.2191.